Record 1
! Pu3TcBi PBE relaxed; values from VASP
&SYSTEM
  ibrav = 0, nat = 5, ntyp = 3
/
ATOMIC_SPECIES
Tc 98.00 Tc.upf
Bi 208.98 Bi.upf
Pu 244.00 Pu.upf
ATOMIC_POSITIONS crystal
Tc 0.000 0.000 0.000
Bi 0.500 0.500 0.500
Pu 0.000 0.500 0.000
Pu 0.000 0.000 0.500
Pu 0.500 0.000 0.000
CELL_PARAMETERS angstrom
-4.995 1.082 -1.048
-1.257 -4.995 0.834
-0.831 1.051 5.043
! Calculated total energy ... -11.449 eV/atom
! DOS at the Fermi energy ... 25.08 states/eV per cell


Record 2
! Ta5In PBE relaxed; values from VASP
&SYSTEM
  ibrav = 0, nat = 6, ntyp = 2
/
ATOMIC_SPECIES
In 114.82 In.upf
Ta 180.95 Ta.upf
ATOMIC_POSITIONS crystal
In 0.000 0.000 0.000
Ta 0.000 0.663 0.325
Ta 0.000 0.337 0.675
Ta 0.500 0.500 0.000
Ta 0.500 0.176 0.352
Ta 0.500 0.824 0.648
CELL_PARAMETERS angstrom
3.467 0.000 0.000
0.000 4.680 0.000
0.000 -2.340 6.912
! ΔE to the lowest computed polymorph ... 0 meV per atom
! DOS at the Fermi energy ... 4.75 states/eV per cell


Record 3
! SrAg2Br8 PBE relaxed; values from VASP
&SYSTEM
  ibrav = 0, nat = 11, ntyp = 3
/
ATOMIC_SPECIES
Sr 87.62 Sr.upf
Ag 107.87 Ag.upf
Br 79.90 Br.upf
ATOMIC_POSITIONS crystal
Sr 0.500 0.500 0.000
Ag 0.750 0.250 0.500
Ag 0.250 0.750 0.500
Br 0.801 0.292 0.226
Br 0.066 0.574 0.774
Br 0.708 0.199 0.774
Br 0.199 0.066 0.774
Br 0.426 0.934 0.226
Br 0.934 0.801 0.226
Br 0.292 0.426 0.226
Br 0.574 0.708 0.774
CELL_PARAMETERS angstrom
7.690 0.000 0.000
0.000 7.690 0.000
-3.845 -3.845 6.002
! DOS at the Fermi energy ... 2.58 states/eV per cell
! ΔE_f (raw) ... -0.609 eV per atom


Record 4
! NbAl5Os6 PBE relaxed; values from VASP
&SYSTEM
  ibrav = 0, nat = 12, ntyp = 3
/
ATOMIC_SPECIES
Nb 92.91 Nb.upf
Os 190.23 Os.upf
Al 26.98 Al.upf
ATOMIC_POSITIONS crystal
Nb 0.000 0.000 0.000
Os 0.830 0.574 0.660
Os 0.830 0.086 0.660
Os 0.500 0.740 0.000
Os 0.500 0.260 0.000
Os 0.170 0.914 0.340
Os 0.170 0.426 0.340
Al 0.664 0.164 0.327
Al 0.332 0.332 0.663
Al 0.000 0.500 0.000
Al 0.668 0.668 0.337
Al 0.336 0.836 0.673
CELL_PARAMETERS angstrom
-1.895 -1.735 3.472
5.337 -2.484 1.672
-0.326 7.400 0.833
! Calculated total energy ... -8.424 eV/atom
! DOS at the Fermi energy ... 9.07 states/eV per cell


Record 5
! AlZn4Ga2 PBE relaxed; values from VASP
&SYSTEM
  ibrav = 0, nat = 7, ntyp = 3
/
ATOMIC_SPECIES
Zn 65.41 Zn.upf
Al 26.98 Al.upf
Ga 69.72 Ga.upf
ATOMIC_POSITIONS crystal
Zn 0.711 0.711 0.868
Zn 0.289 0.289 0.132
Zn 0.144 0.144 0.567
Zn 0.856 0.856 0.433
Al 0.000 0.000 0.000
Ga 0.238 0.238 0.287
Ga 0.762 0.762 0.713
CELL_PARAMETERS angstrom
2.746 0.000 0.388
1.346 2.394 0.388
-1.097 -0.642 17.687
! ΔE to the lowest computed polymorph ... 0 meV per atom
! DOS at the Fermi energy ... 2.79 states/eV per cell


Record 6
! MnTcMo2 PBE relaxed; values from VASP
&SYSTEM
  ibrav = 0, nat = 4, ntyp = 3
/
ATOMIC_SPECIES
Mn 54.94 Mn.upf
Mo 95.94 Mo.upf
Tc 98.00 Tc.upf
ATOMIC_POSITIONS crystal
Mn 0.500 0.500 0.750
Mo 0.000 0.000 0.987
Mo 0.000 0.000 0.513
Tc 0.500 0.500 0.250
CELL_PARAMETERS angstrom
-2.708 -0.092 1.498
-0.245 -3.022 -0.629
2.897 -1.308 5.154
! ΔE to the lowest computed polymorph ... 45 meV per atom
! DOS at the Fermi energy ... 5.59 states/eV per cell


Record 7
! AcCeGaCu PBE relaxed; values from VASP
&SYSTEM
  ibrav = 0, nat = 4, ntyp = 4
/
ATOMIC_SPECIES
Ac 227.00 Ac.upf
Cu 63.55 Cu.upf
Ga 69.72 Ga.upf
Ce 140.12 Ce.upf
ATOMIC_POSITIONS crystal
Ac 0.250 0.250 0.250
Cu 0.500 0.500 0.500
Ga 0.000 0.000 0.000
Ce 0.750 0.750 0.750
CELL_PARAMETERS angstrom
-2.756 -3.236 3.162
-3.688 -3.202 -2.053
0.836 -5.228 -0.183
! Calculated total energy ... -4.489 eV/atom
! DOS at the Fermi energy ... 10.13 states/eV per cell


Record 8
! Rb2SmCu3F12 PBE relaxed; values from VASP
&SYSTEM
  ibrav = 0, nat = 18, ntyp = 4
/
ATOMIC_SPECIES
Rb 85.47 Rb.upf
Sm 150.36 Sm.upf
Cu 63.55 Cu.upf
F 19.00 F.upf
ATOMIC_POSITIONS crystal
Rb 0.612 0.612 0.612
Rb 0.388 0.388 0.388
Sm 0.000 0.000 0.000
Cu 0.500 0.000 0.000
Cu 0.000 0.500 0.000
Cu 0.000 0.000 0.500
F 0.279 0.279 0.905
F 0.883 0.883 0.382
F 0.382 0.883 0.883
F 0.905 0.279 0.279
F 0.883 0.382 0.883
F 0.279 0.905 0.279
F 0.721 0.721 0.095
F 0.117 0.117 0.618
F 0.618 0.117 0.117
F 0.095 0.721 0.721
F 0.117 0.618 0.117
F 0.721 0.095 0.721
CELL_PARAMETERS angstrom
-1.180 -2.751 -6.424
-4.880 -5.135 -0.214
-6.167 1.844 -2.966
! DOS at the Fermi energy ... 3.46 states/eV per cell
! ΔE_f (raw) ... -2.373 eV per atom


Record 9
! CaVIn2Sn PBE relaxed; values from VASP
&SYSTEM
  ibrav = 0, nat = 5, ntyp = 4
/
ATOMIC_SPECIES
Ca 40.08 Ca.upf
V 50.94 V.upf
Sn 118.71 Sn.upf
In 114.82 In.upf
ATOMIC_POSITIONS crystal
Ca 0.000 0.000 0.000
V 0.000 0.500 0.000
Sn 0.500 0.500 0.500
In 0.000 0.000 0.500
In 0.500 0.000 0.000
CELL_PARAMETERS angstrom
-0.772 4.990 2.663
2.313 -1.934 4.295
5.066 1.806 -1.915
! Calculated total energy ... -2.990 eV/atom
! DOS at the Fermi energy ... 5.73 states/eV per cell


Record 10
! AgMoAs2 PBE relaxed; values from VASP
&SYSTEM
  ibrav = 0, nat = 4, ntyp = 3
/
ATOMIC_SPECIES
Mo 95.94 Mo.upf
As 74.92 As.upf
Ag 107.87 Ag.upf
ATOMIC_POSITIONS crystal
Mo 0.500 0.500 0.250
As 0.000 0.000 0.032
As 0.000 0.000 0.468
Ag 0.500 0.500 0.750
CELL_PARAMETERS angstrom
2.990 -0.009 0.000
-1.085 2.786 0.000
0.000 0.000 8.869
! ΔE to the lowest computed polymorph ... 249 meV per atom
! DOS at the Fermi energy ... 3.42 states/eV per cell


Record 11
! FeCo2Ni2 PBE relaxed; values from VASP
&SYSTEM
  ibrav = 0, nat = 10, ntyp = 3
/
ATOMIC_SPECIES
Ni 58.69 Ni.upf
Co 58.93 Co.upf
Fe 55.84 Fe.upf
ATOMIC_POSITIONS crystal
Ni 0.174 0.674 0.500
Ni 0.674 0.826 0.500
Ni 0.826 0.326 0.500
Ni 0.326 0.174 0.500
Co 0.376 0.876 0.000
Co 0.876 0.624 0.000
Co 0.624 0.124 0.000
Co 0.124 0.376 0.000
Fe 0.000 0.000 0.000
Fe 0.500 0.500 0.000
CELL_PARAMETERS angstrom
-6.174 -1.989 2.068
0.950 -6.047 -2.979
0.999 -0.891 2.127
! ΔE to the lowest computed polymorph ... 148 meV per atom
! DOS at the Fermi energy ... 8.14 states/eV per cell


Record 12
! ErTl2Pd9 PBE relaxed; values from VASP
&SYSTEM
  ibrav = 0, nat = 12, ntyp = 3
/
ATOMIC_SPECIES
Er 167.26 Er.upf
Tl 204.38 Tl.upf
Pd 106.42 Pd.upf
ATOMIC_POSITIONS crystal
Er 0.000 0.000 0.000
Tl 0.000 0.000 0.336
Tl 0.000 0.000 0.664
Pd 0.500 0.500 0.000
Pd 0.500 0.500 0.332
Pd 0.500 0.500 0.668
Pd 0.500 0.000 0.167
Pd 0.500 0.000 0.500
Pd 0.500 0.000 0.833
Pd 0.000 0.500 0.167
Pd 0.000 0.500 0.500
Pd 0.000 0.500 0.833
CELL_PARAMETERS angstrom
-0.045 -0.146 -4.079
1.578 -3.762 0.118
-11.389 -4.767 0.296
! Calculated total energy ... -5.101 eV/atom
! DOS at the Fermi energy ... 11.00 states/eV per cell


Record 13
! TlCo2Sb PBE relaxed; values from VASP
&SYSTEM
  ibrav = 0, nat = 4, ntyp = 3
/
ATOMIC_SPECIES
Co 58.93 Co.upf
Sb 121.76 Sb.upf
Tl 204.38 Tl.upf
ATOMIC_POSITIONS crystal
Co 0.000 0.188 0.000
Co 0.500 0.054 0.265
Sb 0.000 0.485 0.406
Tl 0.500 0.773 0.828
CELL_PARAMETERS angstrom
3.991 0.000 0.000
0.000 3.673 0.000
0.000 1.825 4.808
! ΔE to the lowest computed polymorph ... 41 meV per atom
! DOS at the Fermi energy ... 5.88 states/eV per cell
! ΔE_f (raw) ... 0.292 eV per atom


Record 14
! DyZnCoSn PBE relaxed; values from VASP
&SYSTEM
  ibrav = 0, nat = 4, ntyp = 4
/
ATOMIC_SPECIES
Zn 65.41 Zn.upf
Co 58.93 Co.upf
Sn 118.71 Sn.upf
Dy 162.50 Dy.upf
ATOMIC_POSITIONS crystal
Zn 0.000 0.000 0.000
Co 0.500 0.500 0.500
Sn 0.250 0.250 0.250
Dy 0.750 0.750 0.750
CELL_PARAMETERS angstrom
4.671 0.000 0.000
2.336 4.045 0.000
2.336 1.348 3.814
! Calculated total energy ... -4.460 eV/atom
! DOS at the Fermi energy ... 2.58 states/eV per cell


Record 15
! ZrFeGeRh PBE relaxed; values from VASP
&SYSTEM
  ibrav = 0, nat = 4, ntyp = 4
/
ATOMIC_SPECIES
Ge 72.64 Ge.upf
Rh 102.91 Rh.upf
Fe 55.84 Fe.upf
Zr 91.22 Zr.upf
ATOMIC_POSITIONS crystal
Ge 0.250 0.250 0.250
Rh 0.500 0.500 0.500
Fe 0.000 0.000 0.000
Zr 0.750 0.750 0.750
CELL_PARAMETERS angstrom
4.400 0.000 0.000
2.200 3.810 0.000
2.200 1.270 3.592
! Calculated total energy ... -7.711 eV/atom
! DOS at the Fermi energy ... 1.97 states/eV per cell


Record 16
! ScHg PBE relaxed; values from VASP
&SYSTEM
  ibrav = 0, nat = 2, ntyp = 2
/
ATOMIC_SPECIES
Hg 200.59 Hg.upf
Sc 44.96 Sc.upf
ATOMIC_POSITIONS crystal
Hg 0.000 0.000 0.000
Sc 0.750 0.750 0.750
CELL_PARAMETERS angstrom
4.529 0.000 0.000
2.264 3.922 0.000
2.264 1.307 3.698
! Calculated total energy ... -2.863 eV/atom
! DOS at the Fermi energy ... 3.19 states/eV per cell


Record 17
! NaCoTeIr2 PBE relaxed; values from VASP
&SYSTEM
  ibrav = 0, nat = 5, ntyp = 4
/
ATOMIC_SPECIES
Co 58.93 Co.upf
Ir 192.22 Ir.upf
Te 127.60 Te.upf
Na 22.99 Na.upf
ATOMIC_POSITIONS crystal
Co 0.000 0.500 0.000
Ir 0.000 0.000 0.500
Ir 0.500 0.000 0.000
Te 0.000 0.000 0.000
Na 0.500 0.500 0.500
CELL_PARAMETERS angstrom
-4.361 -2.280 -0.118
0.373 -0.471 -4.702
2.250 -4.335 0.612
! DOS at the Fermi energy ... 4.34 states/eV per cell
! ΔE_f (raw) ... 1.137 eV per atom


Record 18
! CuSbTe2N PBE relaxed; values from VASP
&SYSTEM
  ibrav = 0, nat = 5, ntyp = 4
/
ATOMIC_SPECIES
Sb 121.76 Sb.upf
Te 127.60 Te.upf
Cu 63.55 Cu.upf
N 14.01 N.upf
ATOMIC_POSITIONS crystal
Sb 0.500 0.500 0.500
Te 0.000 0.000 0.500
Te 0.500 0.000 0.000
Cu 0.000 0.500 0.000
N 0.000 0.000 0.000
CELL_PARAMETERS angstrom
-1.483 0.870 4.909
-1.926 -3.318 0.006
4.247 -2.463 1.720
! ΔE to the lowest computed polymorph ... 0 meV per atom
! DOS at the Fermi energy ... 2.70 states/eV per cell
! ΔE_f (raw) ... 0.559 eV per atom


Record 19
! Ac2Nd5Sc PBE relaxed; values from VASP
&SYSTEM
  ibrav = 0, nat = 8, ntyp = 3
/
ATOMIC_SPECIES
Ac 227.00 Ac.upf
Nd 144.24 Nd.upf
Sc 44.96 Sc.upf
ATOMIC_POSITIONS crystal
Ac 0.750 0.750 0.500
Ac 0.250 0.250 0.500
Nd 0.500 0.500 0.000
Nd 0.384 0.884 0.767
Nd 0.884 0.384 0.767
Nd 0.616 0.116 0.233
Nd 0.116 0.616 0.233
Sc 0.000 0.000 0.000
CELL_PARAMETERS angstrom
5.178 0.000 -1.004
-0.195 5.175 -1.004
-0.555 -0.576 10.993
! Calculated total energy ... -4.745 eV/atom
! DOS at the Fermi energy ... 14.04 states/eV per cell


Record 20
! ZrMn2Ir2 PBE relaxed; values from VASP
&SYSTEM
  ibrav = 0, nat = 5, ntyp = 3
/
ATOMIC_SPECIES
Mn 54.94 Mn.upf
Ir 192.22 Ir.upf
Zr 91.22 Zr.upf
ATOMIC_POSITIONS crystal
Mn 0.750 0.250 0.500
Mn 0.250 0.750 0.500
Ir 0.388 0.388 0.224
Ir 0.612 0.612 0.776
Zr 0.000 0.000 0.000
CELL_PARAMETERS angstrom
3.778 0.000 0.000
0.000 3.778 0.000
1.889 1.889 5.535
! ΔE to the lowest computed polymorph ... 166 meV per atom
! DOS at the Fermi energy ... 7.85 states/eV per cell